Entry 1:
This record from Alexandria via LeMat-Bulk describes an optimized crystal structure of Li2YAg3. The functional is PBE-GGA.

Lattice parameters (Å, degrees): 3.4131 3.4131 9.8362 90.00 90.00 90.00
With the nearest neighbours (Å) after each atom.
Sites, in units of the cell vectors:
Li 0.0000 0.0000 0.1492  8 Ag 2.82, 1 Li 2.94
Li 0.0000 0.0000 0.8508  8 Ag 2.82, 1 Li 2.94
Y 0.0000 0.0000 0.5000  8 Ag 3.13, 4 Y 3.41, 2 Li 3.45
Ag 0.5000 0.5000 0.0000  8 Li 2.82, 2 Ag 2.93
Ag 0.5000 0.5000 0.2977  4 Li 2.82, 1 Ag 2.93, 4 Y 3.13
Ag 0.5000 0.5000 0.7023  4 Li 2.82, 1 Ag 2.93, 4 Y 3.13

Calculated values
Excess energy over the best structure of this formula in the dataset   0.000 eV/atom
Size of the total moment   0.000 μB per atom
ΔH_f (0 K)   -223 meV/atom

Entry 2:
This record from Alexandria via LeMat-Bulk describes an optimized crystal structure of Cr2MoRh. The functional is PBE-GGA.

Lattice parameters (Å, degrees): 4.6204 4.6204 2.6595 90.00 90.00 108.01
With the nearest neighbours (Å) after each atom.
Sites, in units of the cell vectors:
Cr 0.0000 0.5000 0.0000  4 Cr 2.66-2.72, 4 Mo 2.67, 4 Rh 2.67
Cr 0.5000 0.0000 0.0000  4 Cr 2.66-2.72, 4 Mo 2.67, 4 Rh 2.67
Mo 0.0000 0.0000 0.5000  2 Mo 2.66, 8 Cr 2.67, 2 Rh 2.72
Rh 0.5000 0.5000 0.5000  2 Rh 2.66, 8 Cr 2.67, 2 Mo 2.72

Calculated values
Size of the total moment   0.000 μB per atom
ΔH_f (0 K)   185 meV/atom

Entry 3:
This record from Alexandria via LeMat-Bulk describes an optimized crystal structure of NaCaSmHg. The functional is PBE-GGA.

Lattice parameters (Å, degrees): 5.4641 5.4641 5.4641 60.00 60.00 60.00
With the nearest neighbours (Å) after each atom.
Sites, in units of the cell vectors:
Na 0.0000 0.0000 0.0000  4 Ca 3.35, 4 Sm 3.35
Ca 0.2500 0.2500 0.2500  4 Hg 3.35, 4 Na 3.35
Sm 0.7500 0.7500 0.7500  4 Hg 3.35, 4 Na 3.35
Hg 0.5000 0.5000 0.5000  4 Ca 3.35, 4 Sm 3.35

Calculated values
Size of the total moment   0.000 μB per atom
ΔH_f (0 K)   -148 meV/atom

Entry 4:
This record from Alexandria via LeMat-Bulk describes an optimized crystal structure of LaCr2Hg. The functional is PBE-GGA.

Lattice parameters (Å, degrees): 5.0734 5.0734 5.8128 113.99 113.99 40.87
With the nearest neighbours (Å) after each atom.
Sites, in units of the cell vectors:
La 0.0000 0.0000 0.0000  6 Cr 3.05-3.31, 4 Hg 3.40
Cr 0.2484 0.2484 0.6114  2 Cr 2.20
Cr 0.7516 0.7516 0.3886  2 Cr 2.20
Hg 0.5000 0.5000 0.5000  6 Cr 2.74-2.79

Calculated values
Size of the total moment   0.123 μB per atom
ΔH_f (0 K)   525 meV/atom

Entry 5:
This record from Alexandria via LeMat-Bulk describes an optimized crystal structure of MnRe3Mo. The functional is PBE-GGA.

Lattice parameters (Å, degrees): 4.3826 4.3826 4.3826 90.00 90.00 90.00
With the nearest neighbours (Å) after each atom.
Sites, in units of the cell vectors:
Mn 0.0000 0.0000 0.0000  6 Re 2.19
Re 0.0000 0.0000 0.5000  2 Mn 2.19
Re 0.0000 0.5000 0.0000  2 Mn 2.19
Re 0.5000 0.0000 0.0000  2 Mn 2.19
Mo 0.5000 0.5000 0.5000  12 Re 3.10

Calculated values
Excess energy over the best structure of this formula in the dataset   0.000 eV/atom
Size of the total moment   0.000 μB per atom
ΔH_f (0 K)   1484 meV/atom

Entry 6:
This record from Alexandria via LeMat-Bulk describes an optimized crystal structure of Dy2ThAl. The functional is PBE-GGA.

Lattice parameters (Å, degrees): 10.7315 10.7315 10.7315 19.05 19.05 19.05
With the nearest neighbours (Å) after each atom.
Sites, in units of the cell vectors:
Dy 0.0000 0.0000 0.0000  3 Al 3.09
Dy 0.1878 0.1878 0.1878  3 Al 3.07
Th 0.4274 0.4274 0.4274  6 Th 3.55, 6 Dy 3.60-3.61
Al 0.5935 0.5935 0.5935  6 Dy 3.07-3.09

Calculated values
Excess energy over the best structure of this formula in the dataset   0.144 eV/atom
Size of the total moment   0.000 μB per atom
ΔH_f (0 K)   -39 meV/atom

Entry 7:
This record from Alexandria via LeMat-Bulk describes an optimized crystal structure of Pm2BeGe2. The functional is PBE-GGA.

Lattice parameters (Å, degrees): 5.8208 5.8208 10.5519 110.37 110.37 40.66
With the nearest neighbours (Å) after each atom.
Sites, in units of the cell vectors:
Pm 0.0947 0.0947 0.4059  6 Ge 3.04-3.22, 2 Be 3.11, 1 Pm 3.36
Pm 0.3026 0.3026 0.8597  7 Ge 3.04-3.20, 4 Be 3.13-3.19
Pm 0.6974 0.6974 0.1403  7 Ge 3.04-3.20, 4 Be 3.13-3.19
Pm 0.9053 0.9053 0.5941  6 Ge 3.04-3.22, 2 Be 3.11, 1 Pm 3.36
Be 0.4291 0.4291 0.1847  3 Ge 2.27-2.30
Be 0.5709 0.5709 0.8153  3 Ge 2.27-2.30
Ge 0.0428 0.0428 0.9043  2 Be 2.30, 1 Ge 2.52
Ge 0.3521 0.3521 0.3572  1 Be 2.27
Ge 0.6479 0.6479 0.6428  1 Be 2.27
Ge 0.9572 0.9572 0.0957  2 Be 2.30, 1 Ge 2.52

Calculated values
Excess energy over the best structure of this formula in the dataset   0.000 eV/atom
Size of the total moment   0.000 μB per atom
ΔH_f (0 K)   -686 meV/atom

Entry 8:
This record from Alexandria via LeMat-Bulk describes an optimized crystal structure of Ta2AgMo. The functional is PBE-GGA.

Lattice parameters (Å, degrees): 5.1704 5.1704 2.7841 90.00 90.00 110.31
With the nearest neighbours (Å) after each atom.
Sites, in units of the cell vectors:
Ta 0.0000 0.5000 0.0000  4 Ta 2.78-2.95, 4 Mo 2.94, 4 Ag 2.94
Ta 0.5000 0.0000 0.0000  4 Ta 2.78-2.95, 4 Mo 2.94, 4 Ag 2.94
Ag 0.0000 0.0000 0.5000  2 Ag 2.78, 8 Ta 2.94, 2 Mo 2.95
Mo 0.5000 0.5000 0.5000  2 Mo 2.78, 8 Ta 2.94, 2 Ag 2.95

Calculated values
Excess energy over the best structure of this formula in the dataset   0.227 eV/atom
Size of the total moment   0.000 μB per atom
ΔH_f (0 K)   320 meV/atom